No. 1
# ZrTaP2 (PBE, optimized geometry)
# * energy of formation: -0.89 eV per atom
# * E_tot: -69.6 eV for the cell shown
# * crystal system: monoclinic
# * V: 17.33 Å³ per atom
# * total magnetic moment: 0.00 Bohr magnetons per cell
# * D(E_F): 0.563 states/eV/atom
# * ΔE to the lowest computed polymorph: 0.130 eV per atom
data_ZrTaP2
_chemical_formula_sum 'Zr2 Ta2 P4'
_cell_length_a 6.352
_cell_length_b 3.670
_cell_length_c 6.315
_cell_angle_alpha 90.00
_cell_angle_beta 109.66
_cell_angle_gamma 90.00
_symmetry_space_group_name_H-M 'C 1 2/m 1'
_symmetry_Int_Tables_number 12
loop_
_symmetry_equiv_pos_as_xyz
'x,y,z'
'-x,-y,-z'
'-x,y,-z'
'x,-y,z'
'x+1/2,y+1/2,z'
'-x+1/2,-y+1/2,-z'
'-x+1/2,y+1/2,-z'
'x+1/2,-y+1/2,z'
loop_
_atom_site_label
_atom_site_type_symbol
_atom_site_fract_x
_atom_site_fract_y
_atom_site_fract_z
_atom_site_occupancy
Zr1 Zr 0.000 0.000 0.000 1
Ta1 Ta 0.000 0.500 0.500 1
P1 P 0.246 0.000 0.737 1

---

No. 2
# ZrTa2P (PBE, optimized geometry)
# * energy of formation: -0.36 eV per atom
# * E_tot: -78.2 eV for the cell shown
# * crystal system: orthorhombic
# * V: 18.13 Å³ per atom
# * total magnetic moment: 0.00 Bohr magnetons per cell
# * D(E_F): 0.818 states/eV/atom
data_ZrTa2P
_chemical_formula_sum 'Zr2 Ta4 P2'
_cell_length_a 4.319
_cell_length_b 3.375
_cell_length_c 9.953
_cell_angle_alpha 90.00
_cell_angle_beta 90.00
_cell_angle_gamma 90.00
_symmetry_space_group_name_H-M 'A m m 2'
_symmetry_Int_Tables_number 38
loop_
_symmetry_equiv_pos_as_xyz
'x,y,z'
'-x,-y,z'
'-x,y,z'
'x,-y,z'
'x,y+1/2,z+1/2'
'-x,-y+1/2,z+1/2'
'-x,y+1/2,z+1/2'
'x,-y+1/2,z+1/2'
loop_
_atom_site_label
_atom_site_type_symbol
_atom_site_fract_x
_atom_site_fract_y
_atom_site_fract_z
_atom_site_occupancy
Zr1 Zr 0.000 0.000 0.000 1
Ta1 Ta 0.000 0.000 0.733 1
Ta2 Ta 0.500 0.000 0.283 1
P1 P 0.500 0.000 0.568 1

---

No. 3
# ZrTa2P (PBE, optimized geometry)
# * energy of formation: -0.11 eV per atom
# * E_tot: -38.1 eV for the cell shown
# * crystal system: monoclinic
# * V: 18.23 Å³ per atom
# * total magnetic moment: 0.00 Bohr magnetons per cell
# * D(E_F): 0.749 states/eV/atom
data_ZrTa2P
_chemical_formula_sum 'Zr1 Ta2 P1'
_cell_length_a 3.274
_cell_length_b 4.667
_cell_length_c 4.789
_cell_angle_alpha 90.00
_cell_angle_beta 94.57
_cell_angle_gamma 90.00
_symmetry_space_group_name_H-M 'P 1 2/m 1'
_symmetry_Int_Tables_number 10
loop_
_symmetry_equiv_pos_as_xyz
'x,y,z'
'-x,-y,-z'
'-x,y,-z'
'x,-y,z'
loop_
_atom_site_label
_atom_site_type_symbol
_atom_site_fract_x
_atom_site_fract_y
_atom_site_fract_z
_atom_site_occupancy
Zr1 Zr 0.000 0.000 0.000 1
Ta1 Ta 0.314 0.500 0.742 1
P1 P 0.500 0.000 0.500 1

---

No. 4
# ZrTa2P (PBE, optimized geometry)
# * energy of formation: -0.07 eV per atom
# * E_tot: -75.9 eV for the cell shown
# * crystal system: monoclinic
# * V: 18.15 Å³ per atom
# * total magnetic moment: 0.00 Bohr magnetons per cell
# * D(E_F): 0.704 states/eV/atom
data_ZrTa2P
_chemical_formula_sum 'Zr2 Ta4 P2'
_cell_length_a 5.649
_cell_length_b 9.659
_cell_length_c 3.201
_cell_angle_alpha 90.00
_cell_angle_beta 123.74
_cell_angle_gamma 90.00
_symmetry_space_group_name_H-M 'C 1 2/m 1'
_symmetry_Int_Tables_number 12
loop_
_symmetry_equiv_pos_as_xyz
'x,y,z'
'-x,-y,-z'
'-x,y,-z'
'x,-y,z'
'x+1/2,y+1/2,z'
'-x+1/2,-y+1/2,-z'
'-x+1/2,y+1/2,-z'
'x+1/2,-y+1/2,z'
loop_
_atom_site_label
_atom_site_type_symbol
_atom_site_fract_x
_atom_site_fract_y
_atom_site_fract_z
_atom_site_occupancy
Zr1 Zr 0.000 0.000 0.000 1
Ta1 Ta 0.250 0.250 0.500 1
P1 P 0.000 0.500 0.000 1